(1)
The following is a PBE calculation of Nd3Er3Tm2 after structural relaxation, from the Alexandria database.

```
Nd3Er3Tm2
1.0
5.578 0.000 -1.050
-0.374 5.628 -1.990
-1.258 -0.400 8.663
Nd Er Tm
3 3 2
direct
0.364 0.928 0.729 Nd
0.500 0.500 0.000 Nd
0.636 0.072 0.271 Nd
0.867 0.315 0.733 Er
0.133 0.685 0.267 Er
0.000 0.000 0.000 Er
0.750 0.681 0.500 Tm
0.250 0.319 0.500 Tm
```

Values from the calculation:
DOS at the Fermi energy	1.605	states/eV per atom
energy above the lowest structure with this stoichiometry	0.060	eV per atom
formation enthalpy at 0 K	85	meV/atom

(2)
The following is a PBE calculation of NdEr2Tm after structural relaxation, from the Alexandria database.

```
NdEr2Tm
1.0
-4.795 -0.726 -2.902
-2.449 -5.090 -0.184
-4.857 -0.901 2.747
Tm Nd Er
1 1 2
direct
0.000 0.000 0.000 Tm
0.500 0.500 0.500 Nd
0.250 0.250 0.250 Er
0.750 0.750 0.750 Er
```

Values from the calculation:
DOS at the Fermi energy	1.838	states/eV per atom
energy above the lowest structure with this stoichiometry	0.124	eV per atom
formation enthalpy at 0 K	132	meV/atom

(3)
The following is a PBE calculation of Nd2ErTm after structural relaxation, from the Alexandria database.

```
Nd2ErTm
1.0
-0.802 -5.140 2.367
4.257 -3.812 0.064
2.586 -1.313 4.924
Tm Nd Er
1 2 1
direct
0.500 0.500 0.500 Tm
0.250 0.250 0.250 Nd
0.750 0.750 0.750 Nd
0.000 0.000 0.000 Er
```

Values from the calculation:
DOS at the Fermi energy	1.760	states/eV per atom
energy above the lowest structure with this stoichiometry	0.084	eV per atom
formation enthalpy at 0 K	99	meV/atom

(4)
The following is a PBE calculation of Nd11Er4Tm9 after structural relaxation, from the Alexandria database.

```
Nd11Er4Tm9
1.0
8.438 -12.802 0.000
8.438 12.802 0.000
0.000 0.000 3.643
Nd Er Tm
11 4 9
direct
0.957 0.595 0.000 Nd
0.043 0.405 0.000 Nd
0.595 0.957 0.000 Nd
0.405 0.043 0.000 Nd
0.369 0.631 0.000 Nd
0.631 0.369 0.000 Nd
0.161 0.839 0.000 Nd
0.839 0.161 0.000 Nd
0.000 0.000 0.000 Nd
0.707 0.707 0.000 Nd
0.293 0.293 0.000 Nd
0.759 0.556 0.500 Er
0.241 0.444 0.500 Er
0.556 0.759 0.500 Er
0.444 0.241 0.500 Er
0.166 0.630 0.500 Tm
0.834 0.370 0.500 Tm
0.630 0.166 0.500 Tm
0.370 0.834 0.500 Tm
0.931 0.786 0.500 Tm
0.069 0.214 0.500 Tm
0.786 0.931 0.500 Tm
0.214 0.069 0.500 Tm
0.500 0.500 0.500 Tm
```

Values from the calculation:
DOS at the Fermi energy	1.213	states/eV per atom
formation enthalpy at 0 K	55	meV/atom

(5)
The following is a PBE calculation of Nd12Er5Tm2 after structural relaxation, from the Alexandria database.

```
Nd12Er5Tm2
1.0
10.599 0.000 0.000
-5.300 7.565 -0.178
0.000 0.767 8.057
Nd Er Tm
12 5 2
direct
0.871 0.741 0.105 Nd
0.040 0.633 0.791 Nd
0.592 0.633 0.791 Nd
0.166 0.787 0.384 Nd
0.621 0.787 0.384 Nd
0.445 0.889 0.713 Nd
0.555 0.111 0.287 Nd
0.834 0.213 0.616 Nd
0.379 0.213 0.616 Nd
0.960 0.367 0.209 Nd
0.408 0.367 0.209 Nd
0.129 0.259 0.895 Nd
0.241 0.483 0.513 Er
0.343 0.687 0.097 Er
0.000 0.000 0.500 Er
0.657 0.313 0.903 Er
0.759 0.517 0.487 Er
0.728 0.000 0.000 Tm
0.272 0.000 0.000 Tm
```

Values from the calculation:
DOS at the Fermi energy	1.438	states/eV per atom
energy above the lowest structure with this stoichiometry	0.031	eV per atom
formation enthalpy at 0 K	132	meV/atom

(6)
The following is a PBE calculation of Nd4YEr2Tm2 after structural relaxation, from the Alexandria database.

```
Nd4YEr2Tm2
1.0
-2.159 -2.532 3.817
4.546 -5.125 -4.187
4.809 3.762 5.216
Nd Y Er Tm
4 1 2 2
direct
0.777 0.553 0.668 Nd
0.223 0.447 0.332 Nd
0.554 0.108 0.331 Nd
0.446 0.892 0.669 Nd
0.000 0.000 0.000 Y
0.888 0.777 0.331 Er
0.112 0.223 0.669 Er
0.332 0.664 0.000 Tm
0.668 0.336 0.000 Tm
```

Values from the calculation:
DOS at the Fermi energy	1.490	states/eV per atom
formation enthalpy at 0 K	24	meV/atom

Number 1: uncorrected energy -4.53 eV per atom. Number 2: uncorrected energy -4.46 eV per atom. Number 3: uncorrected energy -4.54 eV per atom. Number 4: uncorrected energy -4.57 eV per atom. Number 5: uncorrected energy -4.55 eV per atom. Number 6: uncorrected energy -4.82 eV per atom.